Density functional theory data (PBE) for Cr2InAu after structural relaxation.

Computed properties:
- Final energy: -6.025 eV per atom
- Total moment: 7.7 Bohr magnetons per cell
- Space group: P4/mmm, No. 123

The structure in POSCAR format:
```
Cr2InAu
1.0
4.367 0.951 0.000
-0.949 4.367 0.000
0.000 0.000 3.566
Au Cr In
1 2 1
direct
0.000 0.500 0.500 Au
0.500 0.500 0.000 Cr
0.000 0.000 0.000 Cr
0.500 0.000 0.500 In
```

---

Density functional theory data (PBE) for BiPb2N after structural relaxation.

Computed properties:
- Total moment: 0.0 Bohr magnetons per cell
- Space group: P-1, No. 2
- Formation energy (no corrections): 0.37 eV per atom

The structure in POSCAR format:
```
BiPb2N
1.0
3.393 0.370 0.247
0.993 6.841 0.474
2.700 0.860 9.762
N Pb Bi
2 4 2
direct
0.420 0.871 0.897 N
0.580 0.129 0.103 N
0.171 0.857 0.149 Pb
0.900 0.352 0.167 Pb
0.829 0.143 0.851 Pb
0.100 0.648 0.833 Pb
0.617 0.273 0.501 Bi
0.383 0.727 0.499 Bi
```

---

Density functional theory data (PBE) for MgFeMo2 after structural relaxation.

Computed properties:
- Final energy: -7.298 eV per atom
- Total moment: 0.0 Bohr magnetons per cell
- Space group: I-42d, No. 122

The structure in POSCAR format:
```
MgFeMo2
1.0
7.112 0.000 0.000
0.000 7.112 0.000
3.556 3.556 2.595
Mo Mg Fe
4 2 2
direct
0.875 0.934 0.750 Mo
0.684 0.125 0.250 Mo
0.375 0.316 0.750 Mo
0.066 0.625 0.250 Mo
0.250 0.750 0.500 Mg
0.500 0.500 0.000 Mg
0.750 0.250 0.500 Fe
0.000 0.000 0.000 Fe
```

---

Density functional theory data (PBE) for GaMoOs2Rh after structural relaxation.

Computed properties:
- Final energy: -6.663 eV per atom
- Total moment: 1.5 Bohr magnetons per cell
- Space group: P4/mmm, No. 123

The structure in POSCAR format:
```
GaMoOs2Rh
1.0
-0.154 2.954 3.666
1.286 -3.470 2.850
4.525 1.103 -0.699
Os Mo Rh Ga
2 1 1 1
direct
0.500 0.000 0.000 Os
0.000 0.000 0.500 Os
0.000 0.500 0.000 Mo
0.000 0.000 0.000 Rh
0.500 0.500 0.500 Ga
```